Model A:
PmBe2Ir after structural relaxation. Source: the Alexandria database, functional GGA-PBE.

Computed properties:
The calculated density is 9.0 Mg/m³. As for the total moment: 0.00 μB per formula unit. As for the symmetry: No. 166. The density of states at the Fermi level comes out at 1.91 states/eV/cell.

Unit cell a=3.9115 b=3.9115 c=5.4480 alpha=68.96 beta=68.96 gamma=60.00
Sites, in units of the cell vectors:
1 Pm 0.0000 0.0000 0.0000
2 Ir 0.5000 0.5000 0.5000
3 Be 0.1940 0.1940 0.4180
4 Be 0.8060 0.8060 0.5820

=====

Model B:
PmBe2Ir after structural relaxation. Source: the Alexandria database, functional GGA-PBE.

Computed properties:
The calculated density is 8.9 Mg/m³. As for the total moment: 0.00 μB per formula unit. As for the symmetry: No. 194. The density of states at the Fermi level comes out at 5.39 states/eV/cell.

Unit cell a=3.9016 b=3.9016 c=10.0028 alpha=90.00 beta=90.00 gamma=120.00
Sites, in units of the cell vectors:
1 Be 0.6667 0.3333 0.0427
2 Be 0.6667 0.3333 0.4573
3 Be 0.3333 0.6667 0.5427
4 Be 0.3333 0.6667 0.9573
5 Ir 0.0000 0.0000 0.5000
6 Ir 0.0000 0.0000 0.0000
7 Pm 0.3333 0.6667 0.2500
8 Pm 0.6667 0.3333 0.7500

=====

Most stable one: model A, least stable one: model B.